# 1
PmTlPt4: relaxed, PBE. Values from VASP.

```
&SYSTEM
  ibrav = 0, nat = 6, ntyp = 3
/
ATOMIC_SPECIES
Pm 145.00 Pm.upf
Tl 204.38 Tl.upf
Pt 195.08 Pt.upf
ATOMIC_POSITIONS angstrom
Pm 0.0000 0.0000 0.0000
Tl 5.7914 5.7914 5.7914
Pt 2.8986 2.8986 2.8986
Pt 4.8233 4.8233 2.8986
Pt 4.8233 2.8986 4.8233
Pt 2.8986 4.8233 4.8233
CELL_PARAMETERS angstrom
0.0000 3.8609 3.8609
3.8609 0.0000 3.8609
3.8609 3.8609 0.0000
```

Calculated values
DFT total energy: -35.69 eV per formula unit
Crystal system: cubic

# 2
MgTlCuAu: relaxed, PBE. Values from VASP.

```
&SYSTEM
  ibrav = 0, nat = 4, ntyp = 4
/
ATOMIC_SPECIES
Mg 24.30 Mg.upf
Tl 204.38 Tl.upf
Cu 63.55 Cu.upf
Au 196.97 Au.upf
ATOMIC_POSITIONS angstrom
Mg 0.0000 0.0000 0.0000
Tl 1.6653 1.6653 1.6653
Cu 3.3307 3.3307 3.3307
Au 4.9960 4.9960 4.9960
CELL_PARAMETERS angstrom
0.0000 3.3307 3.3307
3.3307 0.0000 3.3307
3.3307 3.3307 0.0000
```

Calculated values
DFT total energy: -11.12 eV per formula unit
Crystal system: cubic

# 3
RbFeTe3Au: relaxed, PBE. Values from VASP.

```
&SYSTEM
  ibrav = 0, nat = 12, ntyp = 4
/
ATOMIC_SPECIES
Rb 85.47 Rb.upf
Fe 55.84 Fe.upf
Te 127.60 Te.upf
Au 196.97 Au.upf
ATOMIC_POSITIONS angstrom
Rb 1.9917 4.2866 8.2624
Rb 1.9917 -4.2866 2.7541
Fe 0.0000 0.0000 0.0000
Fe 0.0000 0.0000 5.5082
Te 1.9917 7.2422 2.7541
Te 1.9917 1.7545 0.1810
Te 1.9917 1.7545 5.3272
Te 1.9917 -1.7545 5.6893
Te 1.9917 -1.7545 10.8354
Te 1.9917 -7.2422 8.2624
Au 1.9917 1.0071 2.7541
Au 1.9917 -1.0071 8.2624
CELL_PARAMETERS angstrom
1.9917 -8.2489 0.0000
1.9917 8.2489 0.0000
0.0000 0.0000 11.0165
```

Calculated values
DFT total energy: -23.13 eV per formula unit
Crystal system: orthorhombic

# 4
PmCuMo: relaxed, PBE. Values from VASP.

```
&SYSTEM
  ibrav = 0, nat = 3, ntyp = 3
/
ATOMIC_SPECIES
Pm 145.00 Pm.upf
Cu 63.55 Cu.upf
Mo 95.94 Mo.upf
ATOMIC_POSITIONS angstrom
Pm 0.0000 0.0000 0.0000
Cu 4.8995 4.8995 4.8995
Mo 1.6332 1.6332 1.6332
CELL_PARAMETERS angstrom
0.0000 3.2663 3.2663
3.2663 0.0000 3.2663
3.2663 3.2663 0.0000
```

Calculated values
Energy of formation from the pure elements: 31.4 kcal/mol of atoms
Crystal system: cubic

# 5
DyTmNi2C2N2: relaxed, PBE. Values from VASP.

```
&SYSTEM
  ibrav = 0, nat = 8, ntyp = 5
/
ATOMIC_SPECIES
Dy 162.50 Dy.upf
Tm 168.93 Tm.upf
Ni 58.69 Ni.upf
C 12.01 C.upf
N 14.01 N.upf
ATOMIC_POSITIONS angstrom
Dy 0.0000 0.0000 0.0000
Tm 1.7164 1.7164 2.5075
Ni 0.0000 1.7164 4.8963
Ni 1.7164 0.0000 4.8963
C 0.0000 0.0000 3.7337
C 1.7164 1.7164 6.0942
N 0.0000 0.0000 2.3277
N 1.7164 1.7164 0.2114
CELL_PARAMETERS angstrom
3.4328 0.0000 0.0000
0.0000 3.4328 0.0000
0.0000 0.0000 7.2907
```

Calculated values
DFT total energy: -60.57 eV per formula unit
Crystal system: tetragonal

# 6
ScNiGe: relaxed, PBE. Values from VASP.

```
&SYSTEM
  ibrav = 0, nat = 12, ntyp = 3
/
ATOMIC_SPECIES
Sc 44.96 Sc.upf
Ni 58.69 Ni.upf
Ge 72.64 Ge.upf
ATOMIC_POSITIONS angstrom
Sc 0.0372 1.0252 1.4620
Sc 3.2110 3.0756 5.0052
Sc 3.2853 1.0252 2.0813
Sc 6.4592 3.0756 5.6246
Ni 1.2047 3.0756 2.9947
Ni 2.0434 1.0252 6.5380
Ni 4.4529 3.0756 0.5486
Ni 5.2916 1.0252 4.0919
Ge 1.3372 1.0252 4.2163
Ge 1.9110 3.0756 0.6730
Ge 4.5853 1.0252 6.4135
Ge 5.1591 3.0756 2.8703
CELL_PARAMETERS angstrom
6.4963 0.0000 0.0000
0.0000 4.1008 0.0000
0.0000 0.0000 7.0866
```

Calculated values
DFT total energy: -18.99 eV per formula unit
Crystal system: orthorhombic

# 7
BeSbW: relaxed, PBE. Values from VASP.

```
&SYSTEM
  ibrav = 0, nat = 3, ntyp = 3
/
ATOMIC_SPECIES
Be 9.01 Be.upf
Sb 121.76 Sb.upf
W 183.84 W.upf
ATOMIC_POSITIONS angstrom
Be 0.0000 0.0000 0.0000
Sb 3.0784 3.0784 3.0784
W 1.5392 1.5392 1.5392
CELL_PARAMETERS angstrom
0.0000 3.0784 3.0784
3.0784 0.0000 3.0784
3.0784 3.0784 0.0000
```

Calculated values
DFT total energy: -17.80 eV per formula unit
Crystal system: cubic

# 8
KHgAs: relaxed, PBE. Values from VASP.

```
&SYSTEM
  ibrav = 0, nat = 9, ntyp = 3
/
ATOMIC_SPECIES
K 39.10 K.upf
Hg 200.59 Hg.upf
As 74.92 As.upf
ATOMIC_POSITIONS angstrom
K -1.4753 2.5553 0.0000
K 2.9507 0.0000 0.0000
K 3.2669 5.6585 0.0000
Hg -3.0845 5.3425 1.5202
Hg 1.6578 2.8714 1.5202
Hg 6.1689 0.0000 1.5202
As 0.0000 0.0000 1.5202
As 0.0000 5.4759 0.0000
As 4.7423 2.7379 0.0000
CELL_PARAMETERS angstrom
9.4845 0.0000 0.0000
-4.7423 8.2139 0.0000
0.0000 0.0000 3.0404
```

Calculated values
DFT total energy: -6.00 eV per formula unit
Crystal system: hexagonal

# 9
GaSiNi: relaxed, PBE. Values from VASP.

```
&SYSTEM
  ibrav = 0, nat = 3, ntyp = 3
/
ATOMIC_SPECIES
Ga 69.72 Ga.upf
Si 28.09 Si.upf
Ni 58.69 Ni.upf
ATOMIC_POSITIONS angstrom
Ga 0.0000 0.0000 0.0000
Si 2.7768 2.7768 2.7768
Ni 1.3884 1.3884 1.3884
CELL_PARAMETERS angstrom
0.0000 2.7768 2.7768
2.7768 0.0000 2.7768
2.7768 2.7768 0.0000
```

Calculated values
DFT total energy: -15.04 eV per formula unit
Crystal system: cubic

# 10
GdDy2Tl3CuNi2: relaxed, PBE. Values from VASP.

```
&SYSTEM
  ibrav = 0, nat = 9, ntyp = 5
/
ATOMIC_SPECIES
Gd 157.25 Gd.upf
Dy 162.50 Dy.upf
Tl 204.38 Tl.upf
Cu 63.55 Cu.upf
Ni 58.69 Ni.upf
ATOMIC_POSITIONS angstrom
Gd 0.0000 0.0000 0.0000
Dy 0.0000 -2.6962 4.6658
Dy 0.0000 2.6962 4.6658
Tl 1.9067 -1.7382 2.1154
Tl 1.9067 1.7382 2.1154
Tl 1.9067 0.0000 5.1053
Cu 0.0000 0.0000 3.1156
Ni 1.9067 -4.3676 3.1110
Ni 1.9067 4.3676 3.1110
CELL_PARAMETERS angstrom
3.8134 0.0000 0.0000
0.0000 6.5670 3.7902
0.0000 -6.5670 3.7902
```

Calculated values
DFT total energy: -38.81 eV per formula unit
Crystal system: orthorhombic

# 11
PmNdHg: relaxed, PBE. Values from VASP.

```
&SYSTEM
  ibrav = 0, nat = 3, ntyp = 3
/
ATOMIC_SPECIES
Pm 145.00 Pm.upf
Nd 144.24 Nd.upf
Hg 200.59 Hg.upf
ATOMIC_POSITIONS angstrom
Pm 0.0000 0.0000 0.0000
Nd 3.6980 3.6980 3.6980
Hg 5.5470 5.5470 5.5470
CELL_PARAMETERS angstrom
0.0000 3.6980 3.6980
3.6980 0.0000 3.6980
3.6980 3.6980 0.0000
```

Calculated values
Energy of formation from the pure elements: -2.3 kcal/mol of atoms
Crystal system: cubic

# 12
GdYCSe: relaxed, PBE. Values from VASP.

```
&SYSTEM
  ibrav = 0, nat = 8, ntyp = 4
/
ATOMIC_SPECIES
Gd 157.25 Gd.upf
Y 88.91 Y.upf
C 12.01 C.upf
Se 78.96 Se.upf
ATOMIC_POSITIONS angstrom
Gd 0.0000 0.0000 2.0118
Gd 0.0000 0.0000 11.3611
Y 0.0000 2.1858 4.7027
Y 0.0000 2.1858 8.6702
C 1.8929 1.0929 3.3678
C 1.8929 1.0929 10.0051
Se 0.0000 0.0000 6.6864
Se 0.0000 2.1858 0.0000
CELL_PARAMETERS angstrom
3.7859 0.0000 0.0000
-1.8929 3.2787 0.0000
0.0000 0.0000 13.3729
```

Calculated values
DFT total energy: -28.36 eV per formula unit
Crystal system: hexagonal

# 13
Nd2HoAl3Ge2Ir: relaxed, PBE. Values from VASP.

```
&SYSTEM
  ibrav = 0, nat = 9, ntyp = 5
/
ATOMIC_SPECIES
Nd 144.24 Nd.upf
Ho 164.93 Ho.upf
Al 26.98 Al.upf
Ge 72.64 Ge.upf
Ir 192.22 Ir.upf
ATOMIC_POSITIONS angstrom
Nd 0.0000 -3.6168 3.5582
Nd 0.0000 3.6168 3.5582
Ho 0.0000 0.0000 2.7189
Al 2.1410 0.0000 0.1326
Al 2.1410 -1.3741 4.8144
Al 2.1410 1.3741 4.8144
Ge 2.1410 -1.9875 2.0914
Ge 2.1410 1.9875 2.0914
Ir 0.0000 0.0000 5.5781
CELL_PARAMETERS angstrom
4.2819 0.0000 0.0000
0.0000 6.1638 3.5582
0.0000 -6.1638 3.5582
```

Calculated values
DFT total energy: -51.04 eV per formula unit
Crystal system: orthorhombic

# 14
Dy2ErPdPt2Pb3: relaxed, PBE. Values from VASP.

```
&SYSTEM
  ibrav = 0, nat = 9, ntyp = 5
/
ATOMIC_SPECIES
Dy 162.50 Dy.upf
Er 167.26 Er.upf
Pd 106.42 Pd.upf
Pt 195.08 Pt.upf
Pb 207.20 Pb.upf
ATOMIC_POSITIONS angstrom
Dy 0.0000 -3.9862 3.8854
Dy 0.0000 3.9862 3.8854
Er 0.0000 0.0000 3.0307
Pd 0.0000 0.0000 6.1816
Pt 1.9651 -2.2252 2.3115
Pt 1.9651 2.2252 2.3115
Pb 1.9651 0.0000 0.4556
Pb 1.9651 -1.7628 5.1727
Pb 1.9651 1.7628 5.1727
CELL_PARAMETERS angstrom
3.9301 0.0000 0.0000
0.0000 6.7173 3.8854
0.0000 -6.7173 3.8854
```

Calculated values
DFT total energy: -49.51 eV per formula unit
Crystal system: orthorhombic

# 15
Tb2PuSe3: relaxed, PBE. Values from VASP.

```
&SYSTEM
  ibrav = 0, nat = 6, ntyp = 3
/
ATOMIC_SPECIES
Tb 158.93 Tb.upf
Pu 244.00 Pu.upf
Se 78.96 Se.upf
ATOMIC_POSITIONS angstrom
Tb 0.0000 0.0000 2.0649
Tb 0.0000 0.0000 10.2866
Pu 0.0000 0.0000 6.1758
Se 2.0493 0.0000 0.0000
Se 2.0493 0.0000 4.1018
Se 0.0000 2.9020 2.0740
CELL_PARAMETERS angstrom
-2.0493 2.9020 6.1758
2.0493 -2.9020 6.1758
2.0493 2.9020 -6.1758
```

Calculated values
DFT total energy: -44.37 eV per formula unit
Crystal system: orthorhombic

# 16
PrGdBiI2: relaxed, PBE. Values from VASP.

```
&SYSTEM
  ibrav = 0, nat = 5, ntyp = 4
/
ATOMIC_SPECIES
Pr 140.91 Pr.upf
Gd 157.25 Gd.upf
Bi 208.98 Bi.upf
I 126.90 I.upf
ATOMIC_POSITIONS angstrom
Pr 0.0000 0.0000 0.0000
Gd 2.2390 1.2927 7.9436
Bi 0.0000 2.5854 9.6548
I 0.0000 0.0000 6.0433
I 2.2390 1.2927 2.0076
CELL_PARAMETERS angstrom
4.4780 0.0000 0.0000
-2.2390 3.8781 0.0000
0.0000 0.0000 11.5257
```

Calculated values
DFT total energy: -22.52 eV per formula unit
Crystal system: trigonal

# 17
HfTlMo2: relaxed, PBE. Values from VASP.

```
&SYSTEM
  ibrav = 0, nat = 4, ntyp = 3
/
ATOMIC_SPECIES
Hf 178.49 Hf.upf
Tl 204.38 Tl.upf
Mo 95.94 Mo.upf
ATOMIC_POSITIONS angstrom
Hf 0.0000 0.0000 0.0000
Tl 4.9968 4.9968 4.9968
Mo 1.6656 1.6656 1.6656
Mo 3.3312 3.3312 3.3312
CELL_PARAMETERS angstrom
0.0000 3.3312 3.3312
3.3312 0.0000 3.3312
3.3312 3.3312 0.0000
```

Calculated values
DFT total energy: -32.45 eV per formula unit
Crystal system: cubic

# 18
RbYCoSe3: relaxed, PBE. Values from VASP.

```
&SYSTEM
  ibrav = 0, nat = 12, ntyp = 4
/
ATOMIC_SPECIES
Rb 85.47 Rb.upf
Y 88.91 Y.upf
Co 58.93 Co.upf
Se 78.96 Se.upf
ATOMIC_POSITIONS angstrom
Rb 2.3856 0.0000 0.5835
Rb 12.5195 0.0000 7.9752
Y 1.7262 0.0000 4.9828
Y 13.1789 0.0000 3.5759
Co 7.0077 0.0000 6.1104
Co 7.8974 0.0000 2.4483
Se -0.9260 0.0000 4.2793
Se 4.5570 0.0000 5.5042
Se 5.5599 0.0000 1.8856
Se 8.3786 0.0000 0.0000
Se 9.3452 0.0000 6.6731
Se 10.3481 0.0000 3.0545
CELL_PARAMETERS angstrom
8.3786 -2.1383 0.0000
8.3786 2.1383 0.0000
-1.8521 0.0000 8.5587
```

Calculated values
DFT total energy: -30.58 eV per formula unit
Crystal system: monoclinic

# 19
TmTlO3: relaxed, PBE. Values from VASP.

```
&SYSTEM
  ibrav = 0, nat = 10, ntyp = 3
/
ATOMIC_SPECIES
Tm 168.93 Tm.upf
Tl 204.38 Tl.upf
O 16.00 O.upf
ATOMIC_POSITIONS angstrom
Tm 0.0000 0.0000 0.0000
Tm 0.0000 0.0000 7.3596
Tl 0.0000 0.0000 3.6798
Tl 0.0000 0.0000 11.0394
O -1.8389 0.1641 6.1330
O -1.0616 -1.5105 8.5862
O 0.7773 -1.6746 6.1330
O -0.7773 1.6746 8.5862
O 1.0616 1.5105 6.1330
O 1.8389 -0.1641 8.5862
CELL_PARAMETERS angstrom
2.9005 1.6746 4.9064
-2.9005 1.6746 4.9064
0.0000 -3.3492 4.9064
```

Calculated values
DFT total energy: -32.11 eV per formula unit
Crystal system: trigonal

# 20
KAlInAu: relaxed, PBE. Values from VASP.

```
&SYSTEM
  ibrav = 0, nat = 4, ntyp = 4
/
ATOMIC_SPECIES
K 39.10 K.upf
Al 26.98 Al.upf
In 114.82 In.upf
Au 196.97 Au.upf
ATOMIC_POSITIONS angstrom
K 0.0000 0.0000 0.0000
Al 5.3887 5.3887 5.3887
In 1.7962 1.7962 1.7962
Au 3.5925 3.5925 3.5925
CELL_PARAMETERS angstrom
0.0000 3.5925 3.5925
3.5925 0.0000 3.5925
3.5925 3.5925 0.0000
```

Calculated values
DFT total energy: -10.40 eV per formula unit
Crystal system: cubic

# 21
IrW: relaxed, PBE. Values from VASP.

```
&SYSTEM
  ibrav = 0, nat = 4, ntyp = 2
/
ATOMIC_SPECIES
Ir 192.22 Ir.upf
W 183.84 W.upf
ATOMIC_POSITIONS angstrom
Ir 1.1225 0.0000 0.8595
Ir 3.3675 0.0000 3.9988
W 1.1225 1.3918 3.2674
W 3.3675 1.3918 1.5909
CELL_PARAMETERS angstrom
4.4900 0.0000 0.0000
0.0000 2.7837 0.0000
0.0000 0.0000 4.8583
```

Calculated values
Energy of formation from the pure elements: -7.0 kcal/mol of atoms
Crystal system: orthorhombic

# 22
Ho2ErFe2Ni7: relaxed, PBE. Values from VASP.

```
&SYSTEM
  ibrav = 0, nat = 12, ntyp = 4
/
ATOMIC_SPECIES
Ho 164.93 Ho.upf
Er 167.26 Er.upf
Fe 55.84 Fe.upf
Ni 58.69 Ni.upf
ATOMIC_POSITIONS angstrom
Ho 0.0000 0.0000 3.3546
Ho 0.0000 0.0000 20.8288
Er 0.0000 0.0000 0.0000
Fe 0.0000 0.0000 8.0513
Fe 0.0000 0.0000 16.1322
Ni -1.2390 -0.7154 10.0346
Ni 0.0000 -1.4307 14.1489
Ni -1.2390 0.7154 14.1489
Ni 0.0000 0.0000 12.0917
Ni 1.2390 -0.7153 10.0346
Ni 0.0000 1.4307 10.0346
Ni 1.2390 0.7154 14.1489
CELL_PARAMETERS angstrom
2.4803 1.4320 8.0611
-2.4803 1.4320 8.0611
0.0000 -2.8641 8.0611
```

Calculated values
Energy of formation from the pure elements: -8.4 kcal/mol of atoms
Crystal system: trigonal

# 23
NdB: relaxed, PBE. Values from VASP.

```
&SYSTEM
  ibrav = 0, nat = 4, ntyp = 2
/
ATOMIC_SPECIES
Nd 144.24 Nd.upf
B 10.81 B.upf
ATOMIC_POSITIONS angstrom
Nd 0.0000 2.2840 1.5469
Nd 1.9780 1.1420 4.6406
B 0.0000 0.0000 0.0000
B 0.0000 0.0000 3.0938
CELL_PARAMETERS angstrom
3.9560 0.0000 0.0000
-1.9780 3.4260 0.0000
0.0000 0.0000 6.1875
```

Calculated values
DFT total energy: -10.68 eV per formula unit
Crystal system: hexagonal

# 24
ReIr6W: relaxed, PBE. Values from VASP.

```
&SYSTEM
  ibrav = 0, nat = 8, ntyp = 3
/
ATOMIC_SPECIES
Re 186.21 Re.upf
Ir 192.22 Ir.upf
W 183.84 W.upf
ATOMIC_POSITIONS angstrom
Re 0.0000 0.0000 0.0000
Ir -1.3758 2.4035 0.0000
Ir 0.0000 1.5826 2.2056
Ir -1.3989 4.0055 2.2056
Ir 1.3759 2.4035 0.0000
Ir 0.0000 4.7866 0.0000
Ir 1.3989 4.0055 2.2056
W 2.7695 1.5989 2.2056
CELL_PARAMETERS angstrom
5.5389 0.0000 0.0000
-2.7695 4.7968 0.0000
0.0000 0.0000 4.4112
```

Calculated values
Energy of formation from the pure elements: -5.6 kcal/mol of atoms
Crystal system: hexagonal

# 25
AlTlRe2O8: relaxed, PBE. Values from VASP.

```
&SYSTEM
  ibrav = 0, nat = 12, ntyp = 4
/
ATOMIC_SPECIES
Al 26.98 Al.upf
Tl 204.38 Tl.upf
Re 186.21 Re.upf
O 16.00 O.upf
ATOMIC_POSITIONS angstrom
Al 0.0000 0.0000 0.0000
Tl 0.0000 0.0000 3.5542
Re 0.0000 3.2143 1.6905
Re 2.7837 1.6071 5.4179
O 0.0000 1.5069 1.1065
O -1.4787 4.0680 1.1065
O 1.3050 0.7534 6.0019
O 0.0000 3.2143 3.4570
O 2.7837 1.6071 3.6514
O 1.4787 4.0680 1.1065
O 4.2623 0.7534 6.0019
O 2.7836 3.3146 6.0019
CELL_PARAMETERS angstrom
5.5673 0.0000 0.0000
-2.7836 4.8214 0.0000
0.0000 0.0000 7.1084
```

Calculated values
DFT total energy: -89.77 eV per formula unit
Crystal system: trigonal

# 26
Er3Zn3CuNiPd: relaxed, PBE. Values from VASP.

```
&SYSTEM
  ibrav = 0, nat = 9, ntyp = 5
/
ATOMIC_SPECIES
Er 167.26 Er.upf
Zn 65.41 Zn.upf
Cu 63.55 Cu.upf
Ni 58.69 Ni.upf
Pd 106.42 Pd.upf
ATOMIC_POSITIONS angstrom
Er -0.6274 2.1312 0.0000
Er -1.4187 5.6750 0.0000
Er 2.0460 4.5884 0.0000
Zn 1.8130 2.1074 1.8626
Zn 4.4245 0.5164 1.8626
Zn 4.4966 3.5735 1.8626
Cu 3.5780 2.0658 0.0000
Ni 0.0000 4.1315 1.8626
Pd 0.0000 0.0000 1.8626
CELL_PARAMETERS angstrom
7.1560 0.0000 0.0000
-3.5780 6.1973 0.0000
0.0000 0.0000 3.7252
```

Calculated values
Energy of formation from the pure elements: -12.6 kcal/mol of atoms
Crystal system: hexagonal